The following is a DFT calculation (GGA-PBE) of crystalline PmNpNiS4 at its relaxed geometry.

Values from the calculation:
- V: 275 Å³/cell
- Total moment: 3.2 μB per formula unit
- DOS(E_F): 15.6 states/eV per cell
- Raw total energy: -0.5170 Ry/atom

Unit cell a=6.471 b=5.685 c=7.795 alpha=90.00 beta=106.71 gamma=90.00
Space group P2_1/m (No. 11)
Unique sites:
Pm 0.236 0.250 0.433 [2 per cell]
Np 0.252 0.250 0.940 [2 per cell]
Ni 0.263 0.750 0.179 [2 per cell]
S 0.070 0.750 0.378 [2 per cell]
S 0.074 0.750 0.898 [2 per cell]
S 0.483 0.511 0.752 [4 per cell]